No. 1
A plane-wave DFT calculation with PBE was carried out for a relaxed structure of Cs5PdBrO2.

Cell lengths 5.9350, 5.9350, 9.8554 Å; angles 90.00, 90.00, 90.00 degrees
Last column: nearest neighbours and their distance in Å.
Space group P4/mmm (No. 123)
Inequivalent atoms, fractional coordinates:
Cs 0.0000 0.0000 0.0000 (multiplicity 1)  2 O 2.83
Cs 0.0000 0.5000 0.2880 (multiplicity 4)  2 O 2.97
Pd 0.0000 0.0000 0.5000 (multiplicity 1)  2 O 2.10
Br 0.5000 0.5000 0.0000 (multiplicity 1)  12 Cs 4.11-4.20
O 0.0000 0.0000 0.2874 (multiplicity 2)  1 Pd 2.10



No. 2
A plane-wave DFT calculation with PBE was carried out for a relaxed structure of Cs2PdBr6O.

Cell lengths 7.1136, 7.1136, 12.0347 Å; angles 90.00, 90.00, 90.00 degrees
Last column: nearest neighbours and their distance in Å.
Space group I4/mmm (No. 139)
Inequivalent atoms, fractional coordinates:
Cs 0.0000 0.5000 0.2500 (multiplicity 4)  12 Br 3.60-3.92
Pd 0.0000 0.0000 0.0000 (multiplicity 2)  6 Br 2.48-2.65
Br 0.0000 0.0000 0.2059 (multiplicity 4)  1 Pd 2.48
Br 0.2362 0.2362 0.5000 (multiplicity 8)  1 O 2.38, 1 Pd 2.65
O 0.0000 0.0000 0.5000 (multiplicity 2)  4 Br 2.38



No. 3
A plane-wave DFT calculation with PBE was carried out for a relaxed structure of CsPtBrO.

Cell lengths 4.6762, 3.6380, 14.2341 Å; angles 90.00, 90.00, 90.00 degrees
Last column: nearest neighbours and their distance in Å.
Space group Amm2 (No. 38)
Inequivalent atoms, fractional coordinates:
Cs 0.0000 0.0000 0.0000 (multiplicity 2)  4 O 3.04
Pt 0.5000 0.0000 0.6795 (multiplicity 2)  1 O 1.88
Br 0.5000 0.0000 0.2988 (multiplicity 2)  2 Pt 2.49
O 0.5000 0.0000 0.5476 (multiplicity 2)  1 Pt 1.88

ΔE to the lowest computed polymorph: 231.0 meV/atom



No. 4
A plane-wave DFT calculation with PBE was carried out for a relaxed structure of CsPtBr2O8.

Cell lengths 10.6579, 5.4001, 8.3988 Å; angles 90.00, 95.95, 90.00 degrees
Last column: nearest neighbours and their distance in Å.
Space group C2/m (No. 12)
Inequivalent atoms, fractional coordinates:
Cs 0.0000 0.0000 0.0000 (multiplicity 2)  6 O 3.13-3.21
Pt 0.0000 0.0000 0.5000 (multiplicity 2)  6 O 1.94-2.02
Br 0.1442 0.5000 0.6394 (multiplicity 4)  1 O 1.64
O 0.0244 0.2617 0.6718 (multiplicity 8)  1 Br 1.85, 1 Pt 2.02
O 0.1817 0.0000 0.4965 (multiplicity 4)  1 Pt 1.94
O 0.2186 0.5000 0.8210 (multiplicity 4)  1 Br 1.64



No. 5
A plane-wave DFT calculation with PBE was carried out for a relaxed structure of CsPtBrO.

Cell lengths 10.1000, 3.4244, 6.7062 Å; angles 90.00, 101.08, 90.00 degrees
Last column: nearest neighbours and their distance in Å.
Space group Cm (No. 8)
Inequivalent atoms, fractional coordinates:
Cs 0.0000 0.0000 0.0000 (multiplicity 2)  3 O 2.94-3.12
Pt 0.2205 0.0000 0.6619 (multiplicity 2)  2 O 2.12
Br 0.2660 0.5000 0.4199 (multiplicity 2)  2 Pt 2.46
O 0.1899 0.5000 0.8340 (multiplicity 2)  2 Pt 2.12

ΔE to the lowest computed polymorph: 70.0 meV/atom



No. 6
A plane-wave DFT calculation with PBE was carried out for a relaxed structure of CsPtBrO.

Cell lengths 3.8433, 5.6014, 5.5545 Å; angles 90.00, 90.00, 90.00 degrees
Last column: nearest neighbours and their distance in Å.
Space group Pmm2 (No. 25)
Inequivalent atoms, fractional coordinates:
Cs 0.0000 0.0000 0.0000 (multiplicity 1)  2 O 3.24, 4 Br 3.60
Pt 0.5000 0.5000 0.2979 (multiplicity 1)  2 O 1.92
Br 0.5000 0.5000 0.7870 (multiplicity 1)  2 Pt 2.72-2.84
O 0.0000 0.5000 0.2930 (multiplicity 1)  2 Pt 1.92

ΔE to the lowest computed polymorph: 0.0 meV/atom



No. 7
A plane-wave DFT calculation with PBE was carried out for a relaxed structure of CsPtBrO.

Cell lengths 3.8494, 5.4487, 11.1349 Å; angles 90.00, 90.00, 90.00 degrees
Last column: nearest neighbours and their distance in Å.
Space group Amm2 (No. 38)
Inequivalent atoms, fractional coordinates:
Cs 0.0000 0.0000 0.0000 (multiplicity 2)  1 O 3.18, 2 Br 3.47
Pt 0.5000 0.0000 0.7224 (multiplicity 2)  2 O 1.93
Br 0.5000 0.0000 0.2597 (multiplicity 2)  2 Pt 2.76
O 0.0000 0.0000 0.7148 (multiplicity 2)  2 Pt 1.93

ΔE to the lowest computed polymorph: 22.3 meV/atom



No. 8
A plane-wave DFT calculation with PBE was carried out for a relaxed structure of Cs6PtBr2O.

Cell lengths 8.7143, 8.7143, 21.4221 Å; angles 90.00, 90.00, 120.00 degrees
Last column: nearest neighbours and their distance in Å.
Space group R3 (No. 146, hexagonal axes)
Inequivalent atoms, fractional coordinates:
Cs 0.0116 0.4163 0.0000 (multiplicity 9)  1 O 2.94
Cs 0.0931 0.7225 0.8428 (multiplicity 9)  1 O 3.04, 1 Pt 3.31
Pt 0.0000 0.0000 0.7688 (multiplicity 3)  6 Cs 3.31-3.49
Br 0.0000 0.0000 0.0387 (multiplicity 3)  6 Cs 3.67-3.78
Br 0.0000 0.0000 0.5393 (multiplicity 3)  6 Cs 3.62-3.85
O 0.0000 0.0000 0.2649 (multiplicity 3)  6 Cs 2.94-3.04



No. 9
A plane-wave DFT calculation with PBE was carried out for a relaxed structure of Cs2PuBr4O2.

Cell lengths 12.9479, 8.0508, 6.4220 Å; angles 90.00, 96.54, 90.00 degrees
Last column: nearest neighbours and their distance in Å.
Space group C2/m (No. 12)
Inequivalent atoms, fractional coordinates:
Cs 0.1554 0.0000 0.2700 (multiplicity 4)  3 O 3.68-4.11, 8 Br 3.77-3.87
Pu 0.0000 0.5000 0.5000 (multiplicity 2)  2 O 1.78
Br 0.1010 0.2461 0.7522 (multiplicity 8)  1 Pu 2.83
O 0.1085 0.5000 0.3533 (multiplicity 4)  1 Pu 1.78



No. 10
A plane-wave DFT calculation with PBE was carried out for a relaxed structure of CsRb2BrO.

Cell lengths 5.5943, 5.5943, 5.8745 Å; angles 90.00, 90.00, 90.00 degrees
Last column: nearest neighbours and their distance in Å.
Space group P4/mmm (No. 123)
Inequivalent atoms, fractional coordinates:
Cs 0.0000 0.0000 0.0000 (multiplicity 1)  2 O 2.94
Rb 0.0000 0.5000 0.5000 (multiplicity 2)  2 O 2.80
Br 0.5000 0.5000 0.0000 (multiplicity 1)  4 Cs 3.96, 8 Rb 4.06
O 0.0000 0.0000 0.5000 (multiplicity 1)  4 Rb 2.80, 2 Cs 2.94

ΔE to the lowest computed polymorph: 0.0 meV/atom



No. 11
A plane-wave DFT calculation with PBE was carried out for a relaxed structure of CsRb6BrO.

Cell lengths 8.4609, 8.4609, 10.8679 Å; angles 90.00, 90.00, 120.00 degrees
Last column: nearest neighbours and their distance in Å.
Space group P312 (No. 149)
Inequivalent atoms, fractional coordinates:
Cs 0.0000 0.0000 0.0000 (multiplicity 1)  6 Rb 4.94
Rb 0.3986 0.0556 0.6508 (multiplicity 6)  1 O 2.83
Br 0.3333 0.6667 0.5000 (multiplicity 1)  6 Rb 3.46
O 0.6667 0.3333 0.5000 (multiplicity 1)  6 Rb 2.83



No. 12
A plane-wave DFT calculation with PBE was carried out for a relaxed structure of Cs2Rb5Br3O2.

Cell lengths 5.5869, 5.5869, 29.3618 Å; angles 90.00, 90.00, 90.00 degrees
Last column: nearest neighbours and their distance in Å.
Space group I4/mmm (No. 139)
Inequivalent atoms, fractional coordinates:
Cs 0.0000 0.0000 0.1905 (multiplicity 4)  1 O 2.76
Rb 0.0000 0.0000 0.0000 (multiplicity 2)  2 O 2.84
Rb 0.0000 0.5000 0.0940 (multiplicity 8)  2 O 2.79
Br 0.0000 0.0000 0.3241 (multiplicity 4)  4 Rb 3.68, 5 Cs 3.92-3.97
Br 0.0000 0.0000 0.5000 (multiplicity 2)  12 Rb 3.93-3.95
O 0.0000 0.0000 0.0966 (multiplicity 4)  1 Cs 2.76, 5 Rb 2.79-2.84



No. 13
A plane-wave DFT calculation with PBE was carried out for a relaxed structure of CsRb2BrO.

Cell lengths 4.6819, 18.1688, 9.2092 Å; angles 90.00, 90.00, 90.00 degrees
Last column: nearest neighbours and their distance in Å.
Space group Cmcm (No. 63)
Inequivalent atoms, fractional coordinates:
Cs 0.0000 0.0008 0.2500 (multiplicity 4)  4 O 3.28
Rb 0.0000 0.3592 0.0128 (multiplicity 8)  1 O 2.56
Br 0.0000 0.2182 0.7500 (multiplicity 4)  6 Rb 3.50-3.52
O 0.0000 0.5000 0.0000 (multiplicity 4)  2 Rb 2.56

ΔE to the lowest computed polymorph: 59.9 meV/atom



No. 14
A plane-wave DFT calculation with PBE was carried out for a relaxed structure of Cs2RbBrO.

Cell lengths 5.8941, 5.8941, 5.5774 Å; angles 90.00, 90.00, 90.00 degrees
Last column: nearest neighbours and their distance in Å.
Space group P4/mmm (No. 123)
Inequivalent atoms, fractional coordinates:
Cs 0.0000 0.5000 0.0000 (multiplicity 2)  2 O 2.95
Rb 0.0000 0.0000 0.5000 (multiplicity 1)  2 O 2.79
Br 0.5000 0.5000 0.5000 (multiplicity 1)  8 Cs 4.06, 4 Rb 4.17
O 0.0000 0.0000 0.0000 (multiplicity 1)  2 Rb 2.79, 4 Cs 2.95



No. 15
A plane-wave DFT calculation with PBE was carried out for a relaxed structure of Cs2Rb2Br2O.

Cell lengths 17.3913, 4.5595, 7.7315 Å; angles 90.00, 116.33, 90.00 degrees
Last column: nearest neighbours and their distance in Å.
Space group C2/m (No. 12)
Inequivalent atoms, fractional coordinates:
Cs 0.0013 0.0000 0.2502 (multiplicity 4)  2 O 2.99
Rb 0.1748 0.5000 0.6787 (multiplicity 4)  1 O 2.72
Br 0.1629 0.5000 0.1612 (multiplicity 4)  2 Rb 3.41
O 0.0000 0.5000 0.5000 (multiplicity 2)  2 Rb 2.72, 4 Cs 2.99



No. 16
A plane-wave DFT calculation with PBE was carried out for a relaxed structure of Cs3RbBr2O.

Cell lengths 5.6278, 5.8430, 18.3678 Å; angles 90.00, 90.00, 90.00 degrees
Last column: nearest neighbours and their distance in Å.
Space group Immm (No. 71)
Inequivalent atoms, fractional coordinates:
Cs 0.0000 0.0000 0.0000 (multiplicity 2)  2 O 2.92
Cs 0.0000 0.5000 0.1534 (multiplicity 4)  1 O 2.82
Rb 0.0000 0.0000 0.5000 (multiplicity 2)  2 O 2.81
Br 0.0000 0.5000 0.3622 (multiplicity 4)  7 Cs 3.79-4.07, 2 Rb 3.87
O 0.0000 0.5000 0.0000 (multiplicity 2)  2 Rb 2.81, 4 Cs 2.82-2.92



No. 17
A plane-wave DFT calculation with PBE was carried out for a relaxed structure of CsRbBr2O6.

Cell lengths 10.3123, 12.4034, 7.8751 Å; angles 90.00, 106.28, 90.00 degrees
Last column: nearest neighbours and their distance in Å.
Space group C2/c (No. 15)
Inequivalent atoms, fractional coordinates:
Cs 0.0000 0.1809 0.2500 (multiplicity 4)  6 O 3.16-3.37
Rb 0.0000 0.4146 0.7500 (multiplicity 4)  6 O 2.90-3.05
Br 0.2042 0.1086 0.7897 (multiplicity 8)  3 O 1.68-1.69
O 0.1260 0.3889 0.1266 (multiplicity 8)  1 Br 1.69
O 0.1624 0.2256 0.6793 (multiplicity 8)  1 Br 1.68
O 0.1716 0.0097 0.6372 (multiplicity 8)  1 Br 1.68



No. 18
A plane-wave DFT calculation with PBE was carried out for a relaxed structure of Cs2ReBr6O.

Cell lengths 7.7140, 7.7140, 11.6423 Å; angles 90.00, 90.00, 90.00 degrees
Last column: nearest neighbours and their distance in Å.
Space group I4/mmm (No. 139)
Inequivalent atoms, fractional coordinates:
Cs 0.0000 0.5000 0.2500 (multiplicity 4)  12 Br 3.88-3.99
Re 0.0000 0.0000 0.0000 (multiplicity 2)  6 Br 2.54
Br 0.0000 0.0000 0.2179 (multiplicity 4)  1 Re 2.54
Br 0.2328 0.2328 0.0000 (multiplicity 8)  1 Re 2.54
O 0.0000 0.0000 0.5000 (multiplicity 2)  4 Br 2.92



No. 19
A plane-wave DFT calculation with PBE was carried out for a relaxed structure of Cs5SbBr2O4.

Cell lengths 9.5618, 11.4305, 7.4525 Å; angles 90.00, 90.00, 90.00 degrees
Last column: nearest neighbours and their distance in Å.
Space group Amm2 (No. 38)
Inequivalent atoms, fractional coordinates:
Cs 0.0000 0.0000 0.0000 (multiplicity 2)  2 O 3.28, 4 Br 3.47-3.65
Cs 0.2988 0.1802 0.3745 (multiplicity 8)  2 O 2.98-3.14
Sb 0.5000 0.0000 0.9032 (multiplicity 2)  4 O 1.92-1.93
Br 0.0000 0.1946 0.6427 (multiplicity 4)  6 Cs 3.47-3.65
O 0.3395 0.0000 0.0610 (multiplicity 4)  1 Sb 1.93
O 0.5000 0.1374 0.7541 (multiplicity 4)  1 Sb 1.92



No. 20
A plane-wave DFT calculation with PBE was carried out for a relaxed structure of Cs2SbBr3O.

Cell lengths 4.2748, 6.0148, 19.2315 Å; angles 90.00, 90.00, 90.00 degrees
Last column: nearest neighbours and their distance in Å.
Space group Immm (No. 71)
Inequivalent atoms, fractional coordinates:
Cs 0.0000 0.0000 0.1488 (multiplicity 4)  7 Br 3.57-3.72
Sb 0.0000 0.0000 0.5000 (multiplicity 2)  2 O 2.14
Br 0.0000 0.0000 0.3421 (multiplicity 4)  1 Sb 3.04
Br 0.0000 0.5000 0.5000 (multiplicity 2)  2 Sb 3.01
O 0.0000 0.5000 0.0000 (multiplicity 2)  2 Sb 2.14



No. 21
A plane-wave DFT calculation with PBE was carried out for a relaxed structure of Cs2ScBr6O.

Cell lengths 7.7747, 7.7747, 10.9703 Å; angles 90.00, 90.00, 90.00 degrees
Last column: nearest neighbours and their distance in Å.
Space group I4/mmm (No. 139)
Inequivalent atoms, fractional coordinates:
Cs 0.0000 0.5000 0.2500 (multiplicity 4)  12 Br 3.88-3.89
Sc 0.0000 0.0000 0.0000 (multiplicity 2)  6 Br 2.67
Br 0.0000 0.0000 0.2436 (multiplicity 4)  1 Sc 2.67, 1 O 2.81
Br 0.2428 0.2428 0.0000 (multiplicity 8)  1 Sc 2.67, 1 O 2.83
O 0.0000 0.0000 0.5000 (multiplicity 2)  6 Br 2.81-2.83



No. 22
A plane-wave DFT calculation with PBE was carried out for a relaxed structure of CsSe2BrO.

Cell lengths 4.4702, 4.4702, 7.9525 Å; angles 90.00, 90.00, 90.00 degrees
Last column: nearest neighbours and their distance in Å.
Space group P4/mmm (No. 123)
Inequivalent atoms, fractional coordinates:
Cs 0.0000 0.0000 0.0000 (multiplicity 1)  4 Br 3.16
Se 0.0000 0.5000 0.5000 (multiplicity 2)  2 O 2.24
Br 0.5000 0.5000 0.0000 (multiplicity 1)  4 Cs 3.16
O 0.5000 0.5000 0.5000 (multiplicity 1)  4 Se 2.24



No. 23
A plane-wave DFT calculation with PBE was carried out for a relaxed structure of CsSi2BrO.

Cell lengths 5.0623, 5.0623, 5.1257 Å; angles 90.00, 90.00, 90.00 degrees
Last column: nearest neighbours and their distance in Å.
Space group P4/mmm (No. 123)
Inequivalent atoms, fractional coordinates:
Cs 0.0000 0.0000 0.0000 (multiplicity 1)  4 O 3.58, 8 Si 3.60
Si 0.0000 0.5000 0.5000 (multiplicity 2)  2 Br 2.53
Br 0.5000 0.5000 0.5000 (multiplicity 1)  4 Si 2.53, 2 O 2.56
O 0.5000 0.5000 0.0000 (multiplicity 1)  2 Br 2.56



No. 24
A plane-wave DFT calculation with PBE was carried out for a relaxed structure of Cs2SnBr6O.

Cell lengths 7.7511, 7.7511, 11.4052 Å; angles 90.00, 90.00, 90.00 degrees
Last column: nearest neighbours and their distance in Å.
Space group I4/mmm (No. 139)
Inequivalent atoms, fractional coordinates:
Cs 0.0000 0.5000 0.2500 (multiplicity 4)  12 Br 3.88-3.96
Sn 0.0000 0.0000 0.0000 (multiplicity 2)  6 Br 2.65-2.69
Br 0.0000 0.0000 0.2327 (multiplicity 4)  1 Sn 2.65
Br 0.2458 0.2458 0.0000 (multiplicity 8)  1 Sn 2.69, 1 O 2.79
O 0.0000 0.0000 0.5000 (multiplicity 2)  6 Br 2.79-3.05



no.,raw formation energy (kJ per mole of atoms)
1,-96.6
2,-64.4
3,-48.2
4,-10.5
5,-63.7
6,-70.5
7,-68.3
8,-94.8
9,-178.9
10,-120.8
11,-62.6
12,-131.9
13,-115.1
14,-121.0
15,-134.8
16,-138.0
17,-59.5
18,-63.0
19,-151.4
20,-124.8
21,-110.3
22,-14.7
23,85.5
24,-82.1